A geometry-optimized Ce2TmTi structure. Source: Alexandria via LeMat-Bulk, functional PBE.

Calculated values
- formation enthalpy at 0 K (eV/f.u.) = 0.70
- total magnetic moment (Bohr magnetons per cell) = 0.04
- energy above the most stable polymorph in this dataset (kJ per mole of atoms) = 0.0
- E (eV/atom) = -5.883

The structure in CIF format:
```
data_Ce2TmTi
_symmetry_space_group_name_H-M 'P 4/m m m'
_symmetry_Int_Tables_number 123
_symmetry_space_group_name_Hall '-P 4 2'
_cell_length_a 3.2417
_cell_length_b 3.2417
_cell_length_c 9.7105
_cell_angle_alpha 90.00
_cell_angle_beta 90.00
_cell_angle_gamma 90.00
loop_
_atom_site_label
_atom_site_type_symbol
_atom_site_fract_x
_atom_site_fract_y
_atom_site_fract_z
Ce1 Ce 0.0000 0.0000 0.2269
Tm1 Tm 0.5000 0.5000 0.5000
Ti1 Ti 0.5000 0.5000 0.0000
```